# 1
Density functional theory data (PBE) for Ce2NiPt after structural relaxation.

abc: 3.038 3.038 10.093
angles: 81.34 81.34 60.00
Element x y z (fractional)
Ni  0.500  0.500  0.500
Ce  0.092  0.092  0.725
Ce  0.908  0.908  0.275
Pt  0.000  0.000  0.000

## Properties
The density of states at the Fermi level is 1.755 states/eV per atom. As for the calculated total energy: -0.218 hartree per atom. The calculation puts the magnetic moment at 0.0 μB per cell.


# 2
Density functional theory data (PBE) for Ce2NiPt after structural relaxation.

abc: 5.773 5.773 4.310
angles: 90.00 90.00 141.75
Site moments in Bohr magnetons follow the coordinates.
Element x y z (fractional)
Pt  0.586  0.414  0.500  -0.01
Ce  0.865  0.135  0.500  0.44
Ce  0.139  0.861  0.000  0.46
Ni  0.410  0.590  0.000  -0.05

## Properties
The density of states at the Fermi level is 2.206 states/eV per atom. As for the calculated total energy: -0.243 hartree per atom. The calculation puts the magnetic moment at 1.0 μB per cell.


# 3
Density functional theory data (PBE) for Ce2Ni2Pt15 after structural relaxation.

abc: 6.955 6.955 6.955
angles: 83.04 83.04 83.04
Site moments in Bohr magnetons follow the coordinates.
Element x y z (fractional)
Ni  0.098  0.098  0.098  0.56
Ni  0.902  0.902  0.902  0.56
Pt  0.000  0.690  0.310  0.04
Pt  0.655  0.655  0.157  0.03
Pt  0.000  0.500  0.000  0.06
Pt  0.655  0.157  0.655  0.03
Pt  0.500  0.000  0.000  0.06
Pt  0.843  0.345  0.345  0.03
Pt  0.690  0.000  0.310  0.04
Pt  0.000  0.000  0.500  0.06
Pt  0.310  0.690  0.000  0.04
Pt  0.345  0.345  0.843  0.03
Pt  0.157  0.655  0.655  0.03
Pt  0.690  0.310  0.000  0.04
Pt  0.000  0.310  0.690  0.04
Pt  0.345  0.843  0.345  0.03
Pt  0.310  0.000  0.690  0.04
Ce  0.331  0.331  0.331  -0.36
Ce  0.669  0.669  0.669  -0.36

## Properties
The density of states at the Fermi level is 1.247 states/eV per atom. As for the calculated total energy: -0.235 hartree per atom. The calculation puts the magnetic moment at 0.8 μB per cell.


Energy relative to the elements in meV/atom, matching the order above: 0 -692 -394